(1)
Tl2Cr2O7: relaxed, GGA-PBEsol.

Results
The space group is P-1, No. 2. Its magnetization is 0.00 μB per formula unit. As for the uncorrected formation energy: -1.51 eV per atom. The final energy is -7.19 eV per atom.

a = 7.2132 Å, b = 7.4641 Å, c = 7.6147 Å
α = 107.79°, β = 92.83°, γ = 110.01°
Fractional positions:
O  0.6888  0.5913  0.6432
O  0.9914  0.6808  0.9075
O  0.6351  0.3619  0.8765
O  0.6832  0.9064  0.0401
O  0.4858  0.9480  0.6789
Cr  0.8043  0.4971  0.7591
O  0.1088  0.6490  0.3878
Tl  0.3064  0.5863  0.7216
Cr  0.1957  0.5029  0.2409
O  0.5142  0.0520  0.3211
O  0.8912  0.3510  0.6122
Tl  0.6936  0.4137  0.2784
O  0.7412  0.8433  0.3569
O  0.3168  0.0936  0.9599
Cr  0.4190  0.1345  0.7850
Cr  0.5810  0.8655  0.2150
O  0.0086  0.3192  0.0925
O  0.2588  0.1567  0.6431
O  0.3649  0.6381  0.1235
O  0.3112  0.4087  0.3568
Tl  0.1212  0.9985  0.2519
Tl  0.8788  0.0015  0.7481


(2)
TlCrO2: relaxed, GGA-PBEsol.

Results
The space group is R-3m, No. 166. Its magnetization is 1.79 μB per formula unit. As for the uncorrected formation energy: -0.63 eV per atom. The final energy is -6.47 eV per atom.

a = 3.3607 Å, b = 3.3607 Å, c = 7.3147 Å
α = 76.72°, β = 76.72°, γ = 60.00°
Site moments in Bohr magnetons follow the coordinates.
Fractional positions:
Tl  0.5000  0.5000  0.5000  -0.02
Cr  0.0000  0.0000  0.0000  1.88
O  0.0792  0.0792  0.7625  -0.11
O  0.9208  0.9208  0.2375  -0.11


(3)
TmCrO4: relaxed, GGA-PBEsol.

Results
The space group is I4_1/amd, No. 141. Its magnetization is 1.00 μB per formula unit. As for the uncorrected formation energy: -2.66 eV per atom. The final energy is -8.68 eV per atom.

a = 5.8226 Å, b = 5.8226 Å, c = 5.8240 Å
α = 106.12°, β = 106.12°, γ = 116.40°
Site moments in Bohr magnetons follow the coordinates.
Fractional positions:
O  0.3874  0.0726  0.3148  0.00
Tm  0.0000  0.0000  0.0000  0.04
O  0.7578  0.0726  0.6852  0.00
O  0.3226  0.5078  0.1852  0.00
O  0.4922  0.6774  0.8148  0.00
Tm  0.2500  0.7500  0.5000  0.04
O  0.9274  0.2422  0.3148  0.00
Cr  0.7500  0.2500  0.5000  0.90
Cr  0.5000  0.5000  0.0000  0.90
O  0.3226  0.1374  0.8148  0.00
O  0.9274  0.6126  0.6852  0.00
O  0.8626  0.6774  0.1852  0.00


(4)
VCrO3: relaxed, GGA-PBEsol.

Results
The space group is C2, No. 5. Its magnetization is 2.40 μB per formula unit. As for the uncorrected formation energy: -2.10 eV per atom. The final energy is -9.23 eV per atom.

a = 4.8514 Å, b = 5.4127 Å, c = 8.3842 Å
α = 105.18°, β = 90.00°, γ = 116.62°
Site moments in Bohr magnetons follow the coordinates.
Fractional positions:
O  0.4623  0.9880  0.6542  0.00
V  0.2618  0.2752  0.0377  1.01
Cr  0.4784  0.7125  0.4437  2.48
V  0.2351  0.2169  0.7028  -1.32
O  0.4412  0.0000  0.0000  -0.01
Cr  0.5127  0.7727  0.7964  2.46
O  0.0585  0.4985  0.7606  0.00
O  0.5471  0.5048  0.9119  -0.01
O  0.4744  0.0120  0.3458  0.00
V  0.0182  0.7831  0.2972  -1.32
Cr  0.7660  0.2875  0.5563  2.48
O  0.9751  0.0107  0.1620  0.01
Cr  0.7400  0.2273  0.2036  2.46
O  0.5600  0.5015  0.2394  0.00
O  0.0229  0.4971  0.4103  0.00
O  0.0423  0.4952  0.0881  -0.01
V  0.9866  0.7248  0.9623  1.01
O  0.9364  0.0000  0.5000  0.01
O  0.5258  0.5029  0.5897  0.00
O  0.9644  0.9893  0.8380  0.01